# 1
A relaxed Sr3Np2UP6 crystal, computed with GGA-PBE.

Lattice parameters (Å, degrees): 7.141 7.141 7.301 99.38 99.38 120.00
Fractional coordinates of all 12 atoms:
Sr 0.000 0.000 0.000
Sr 0.333 0.667 0.000
Sr 0.667 0.333 0.000
Np 0.167 0.833 0.500
Np 0.833 0.167 0.500
U 0.500 0.500 0.500
P 0.101 0.430 0.289
P 0.241 0.241 0.710
P 0.430 0.101 0.289
P 0.570 0.899 0.711
P 0.759 0.759 0.290
P 0.899 0.570 0.711

Results
calculated formation energy	-0.981	eV per atom
ρ	6.3	Mg/m³
magnetic moment	8.009	μB/cell
space-group type	C2/m, No. 12
E	-7.20	eV per atom

---

# 2
A relaxed AcSbS crystal, computed with GGA-PBE.

Lattice parameters (Å, degrees): 6.694 6.694 6.694 146.02 146.02 48.82
Fractional coordinates of all 3 atoms:
Ac 0.000 0.000 0.000
Sb 0.295 0.295 0.000
S 0.587 0.587 0.000

Results
ρ	6.8	Mg/m³
energy above the lowest structure with this stoichiometry	0.594	eV per atom
magnetic moment	0.000	μB/cell
raw formation energy	-984	meV/atom
space-group type	I4mm, No. 107
E	-5.10	eV per atom

---

# 3
A relaxed LiNdY2 crystal, computed with GGA-PBE.

Lattice parameters (Å, degrees): 11.480 11.480 11.480 17.86 17.86 17.86
Fractional coordinates of all 4 atoms:
Li 0.000 0.000 0.000
Nd 0.167 0.167 0.167
Y 0.412 0.412 0.412
Y 0.587 0.587 0.587

Results
calculated formation energy	0.120	eV per atom
ρ	4.4	Mg/m³
energy above the lowest structure with this stoichiometry	0.055	eV per atom
magnetic moment	0.000	μB/cell
space-group type	R3m, No. 160
E	-4.78	eV per atom

---

# 4
A relaxed Ti2ReNiH crystal, computed with GGA-PBE.

Lattice parameters (Å, degrees): 4.153 4.153 3.547 90.00 90.00 90.00
Fractional coordinates of all 5 atoms:
Ti 0.000 0.500 0.000
Ti 0.500 0.000 0.000
Re 0.000 0.000 0.500
Ni 0.500 0.500 0.500
H 0.000 0.000 0.000

Results
ρ	9.3	Mg/m³
energy above the lowest structure with this stoichiometry	0.165	eV per atom
magnetic moment	0.000	μB/cell
space-group type	P4/mmm, No. 123
E	-7.71	eV per atom

---

# 5
A relaxed Cs3Zr2I9 crystal, computed with GGA-PBE.

Lattice parameters (Å, degrees): 8.555 8.555 20.724 90.00 90.00 120.00
Fractional coordinates of all 28 atoms:
Cs 0.000 0.000 0.250
Cs 0.000 0.000 0.750
Cs 0.333 0.667 0.062
Cs 0.333 0.667 0.438
Cs 0.667 0.333 0.562
Cs 0.667 0.333 0.938
Zr 0.333 0.667 0.673
Zr 0.333 0.667 0.827
Zr 0.667 0.333 0.173
Zr 0.667 0.333 0.327
I 0.002 0.501 0.250
I 0.172 0.343 0.593
I 0.172 0.343 0.907
I 0.172 0.828 0.593
I 0.172 0.828 0.907
I 0.343 0.172 0.093
I 0.343 0.172 0.407
I 0.499 0.501 0.250
I 0.499 0.998 0.250
I 0.501 0.002 0.750
I 0.501 0.499 0.750
I 0.657 0.828 0.593
I 0.657 0.828 0.907
I 0.828 0.172 0.093
I 0.828 0.172 0.407
I 0.828 0.657 0.093
I 0.828 0.657 0.407
I 0.998 0.499 0.750

Results
ρ	4.4	Mg/m³
magnetic moment	0.000	μB/cell
raw formation energy	-1213	meV/atom
space-group type	P6_3/mmc, No. 194
E	-3.61	eV per atom

---

# 6
A relaxed VSbPCl2 crystal, computed with GGA-PBE.

Lattice parameters (Å, degrees): 4.621 4.621 5.153 90.00 90.00 90.00
Fractional coordinates of all 5 atoms:
V 0.000 0.000 0.000
Sb 0.500 0.500 0.500
P 0.000 0.000 0.500
Cl 0.000 0.500 0.000
Cl 0.500 0.000 0.000

Results
ρ	4.1	Mg/m³
energy above the lowest structure with this stoichiometry	0.000	eV per atom
magnetic moment	2.954	μB/cell
raw formation energy	-88	meV/atom
space-group type	P4/mmm, No. 123
E	-4.56	eV per atom